# LaBAsPd6 | Alexandria via LeMat-Bulk | GGA-PBE | relaxed
data_LaBAsPd6
_chemical_formula_sum 'La4 B4 As4 Pd24'
_cell_length_a 6.877
_cell_length_b 8.424
_cell_length_c 11.321
_cell_angle_alpha 90.00
_cell_angle_beta 90.00
_cell_angle_gamma 90.00
_symmetry_space_group_name_H-M 'I m m a'
_symmetry_Int_Tables_number 74
_symmetry_space_group_name_Hall '-I 2b 2'
loop_
_atom_site_label
_atom_site_fract_x
_atom_site_fract_y
_atom_site_fract_z
_atom_site_occupancy
La1 0.000 0.250 0.177 1
B1 0.000 0.000 0.500 1
As1 0.250 0.250 0.750 1
Pd1 0.000 0.250 0.454 1
Pd2 0.000 0.250 0.914 1
Pd3 0.218 0.015 0.625 1
# Uncorrected energy = -5.6411 eV/atom
# DFT formation energy = -373 meV/atom
# Crystal system = orthorhombic

***

# SmTlInCu | Alexandria via LeMat-Bulk | GGA-PBE | relaxed
data_SmTlInCu
_chemical_formula_sum 'Sm4 Tl4 In4 Cu4'
_cell_length_a 7.222
_cell_length_b 7.222
_cell_length_c 7.222
_cell_angle_alpha 90.00
_cell_angle_beta 90.00
_cell_angle_gamma 90.00
_symmetry_space_group_name_H-M 'F -4 3 m'
_symmetry_Int_Tables_number 216
_symmetry_space_group_name_Hall 'F -4 2 3'
loop_
_atom_site_label
_atom_site_fract_x
_atom_site_fract_y
_atom_site_fract_z
_atom_site_occupancy
Sm1 0.000 0.000 0.000 1
Tl1 0.250 0.250 0.750 1
In1 0.000 0.000 0.500 1
Cu1 0.250 0.250 0.250 1
# Uncorrected energy = -3.6170 eV/atom
# DFT formation energy = -137 meV/atom
# Crystal system = cubic

***

# Co4AgTe | Alexandria via LeMat-Bulk | GGA-PBE | relaxed
data_Co4AgTe
_chemical_formula_sum 'Co16 Ag4 Te4'
_cell_length_a 7.001
_cell_length_b 7.001
_cell_length_c 7.001
_cell_angle_alpha 90.00
_cell_angle_beta 90.00
_cell_angle_gamma 90.00
_symmetry_space_group_name_H-M 'F -4 3 m'
_symmetry_Int_Tables_number 216
_symmetry_space_group_name_Hall 'F -4 2 3'
loop_
_atom_site_label
_atom_site_fract_x
_atom_site_fract_y
_atom_site_fract_z
_atom_site_occupancy
Co1 0.125 0.125 0.125 1
Ag1 0.000 0.000 0.500 1
Te1 0.250 0.250 0.750 1
# Uncorrected energy = -5.3642 eV/atom
# Formation energy without anion corrections = 0.37 eV/atom
# Crystal system = cubic

***

# Tb3DyTl5 | Alexandria via LeMat-Bulk | GGA-PBE | relaxed
data_Tb3DyTl5
_chemical_formula_sum 'Tb6 Dy2 Tl10'
_cell_length_a 9.3698
_cell_length_b 9.3698
_cell_length_c 6.5897
_cell_angle_alpha 90.00
_cell_angle_beta 90.00
_cell_angle_gamma 120.00
_symmetry_space_group_name_H-M 'P 63/m c m'
_symmetry_Int_Tables_number 193
_symmetry_space_group_name_Hall '-P 6c 2'
loop_
_atom_site_label
_atom_site_fract_x
_atom_site_fract_y
_atom_site_fract_z
_atom_site_occupancy
Tb1 0.0000 0.3692 0.2500 1
Dy1 0.0000 0.0000 0.0000 1
Tl1 0.0000 0.2981 0.7500 1
Tl2 0.3333 0.6667 0.0000 1
# Uncorrected energy = -3.6753 eV/atom
# DFT formation energy = -306 meV/atom
# Crystal system = hexagonal